VASP calculation (PBE-GGA) on a relaxed Ac4TeIr2 crystal.

Computed properties:
- ΔE_f (raw): -0.9111 eV per atom

a = 14.8913 Å, b = 14.8913 Å, c = 14.8913 Å
α = 17.12°, β = 17.12°, γ = 17.12°
Atoms (fractional coordinates):
Ac: 0.1249 0.1249 0.1249
Ac: 0.2808 0.2808 0.2808
Ac: 0.7192 0.7192 0.7192
Ac: 0.8751 0.8751 0.8751
Te: 0.0000 0.0000 0.0000
Ir: 0.4247 0.4247 0.4247
Ir: 0.5753 0.5753 0.5753

---

VASP calculation (PBE-GGA) on a relaxed Ac4Te3Ir crystal.

Computed properties:
- ΔE_f (raw): -1.2956 eV per atom

a = 8.2554 Å, b = 8.2554 Å, c = 4.5100 Å
α = 90.00°, β = 90.00°, γ = 107.40°
Atoms (fractional coordinates):
Ac: 0.2109 0.2109 0.5000
Ac: 0.2307 0.7693 0.0000
Ac: 0.7693 0.2307 0.0000
Ac: 0.7891 0.7891 0.5000
Te: 0.0000 0.5000 0.5000
Te: 0.5000 0.0000 0.5000
Te: 0.5000 0.5000 0.0000
Ir: 0.0000 0.0000 0.0000

---

VASP calculation (PBE-GGA) on a relaxed AcTeIr crystal.

Computed properties:
- ΔE_f (raw): -0.8305 eV per atom
- E above lowest polymorph: 0 meV per atom

a = 6.9250 Å, b = 6.4268 Å, c = 8.0038 Å
α = 90.00°, β = 109.42°, γ = 90.00°
Atoms (fractional coordinates):
Ac: 0.1948 0.1438 0.3724
Ac: 0.1948 0.3562 0.8724
Ac: 0.8052 0.6438 0.1276
Ac: 0.8052 0.8562 0.6276
Te: 0.3589 0.6329 0.2741
Te: 0.3589 0.8671 0.7741
Te: 0.6411 0.1329 0.2259
Te: 0.6411 0.3671 0.7259
Ir: 0.1341 0.6252 0.5013
Ir: 0.1341 0.8748 0.0013
Ir: 0.8659 0.1252 0.9987
Ir: 0.8659 0.3748 0.4987

---

VASP calculation (PBE-GGA) on a relaxed Ac6ZnTe3Ir2 crystal.

Computed properties:
- ΔE_f (raw): -1.0179 eV per atom

a = 7.7490 Å, b = 7.7490 Å, c = 8.4508 Å
α = 98.76°, β = 98.76°, γ = 119.91°
Atoms (fractional coordinates):
Ac: 0.0738 0.4283 0.7855
Ac: 0.2160 0.2160 0.2106
Ac: 0.4283 0.0738 0.7855
Ac: 0.5717 0.9262 0.2145
Ac: 0.7840 0.7840 0.7894
Ac: 0.9262 0.5717 0.2145
Zn: 0.5000 0.5000 0.0000
Te: 0.0000 0.0000 0.5000
Te: 0.3394 0.6606 0.5000
Te: 0.6606 0.3394 0.5000
Ir: 0.1673 0.8327 0.0000
Ir: 0.8327 0.1673 0.0000

---

VASP calculation (PBE-GGA) on a relaxed AcTh2Ir9 crystal.

Computed properties:
- ΔE_f: -7.10 eV/f.u.

a = 9.4337 Å, b = 9.4337 Å, c = 9.4337 Å
α = 33.38°, β = 33.38°, γ = 33.38°
Atoms (fractional coordinates):
Ac: 0.0000 0.0000 0.0000
Th: 0.1385 0.1385 0.1385
Th: 0.8615 0.8615 0.8615
Ir: 0.0825 0.5822 0.5822
Ir: 0.3325 0.3325 0.3325
Ir: 0.4178 0.4178 0.9175
Ir: 0.4178 0.9175 0.4178
Ir: 0.5000 0.5000 0.5000
Ir: 0.5822 0.0825 0.5822
Ir: 0.5822 0.5822 0.0825
Ir: 0.6675 0.6675 0.6675
Ir: 0.9175 0.4178 0.4178

---

VASP calculation (PBE-GGA) on a relaxed Ac4ThIr4 crystal.

Computed properties:
- ΔE_f: -5.86 eV/f.u.

a = 7.8030 Å, b = 7.8030 Å, c = 9.6198 Å
α = 119.29°, β = 119.29°, γ = 33.27°
Atoms (fractional coordinates):
Ac: 0.1252 0.1252 0.3703
Ac: 0.3286 0.3286 0.1999
Ac: 0.6714 0.6714 0.8001
Ac: 0.8748 0.8748 0.6297
Th: 0.5000 0.5000 0.0000
Ir: 0.0979 0.0979 0.9464
Ir: 0.2919 0.2919 0.7427
Ir: 0.7081 0.7081 0.2573
Ir: 0.9021 0.9021 0.0536

---

VASP calculation (PBE-GGA) on a relaxed AcThIr crystal.

Computed properties:
- E above lowest polymorph: 0 meV per atom
- ΔE_f: -1.76 eV/f.u.

a = 3.9501 Å, b = 9.3467 Å, c = 10.5972 Å
α = 93.75°, β = 100.72°, γ = 102.15°
Atoms (fractional coordinates):
Ac: 0.1051 0.0311 0.1767
Ac: 0.3674 0.4308 0.3045
Ac: 0.6326 0.5692 0.6955
Ac: 0.8949 0.9689 0.8233
Th: 0.3463 0.6655 0.0282
Th: 0.3714 0.1674 0.5769
Th: 0.6286 0.8326 0.4231
Th: 0.6537 0.3345 0.9718
Ir: 0.0442 0.3097 0.7783
Ir: 0.2367 0.8501 0.6232
Ir: 0.7633 0.1499 0.3768
Ir: 0.9558 0.6903 0.2217

---

VASP calculation (PBE-GGA) on a relaxed AcThIr crystal.

Computed properties:
- E above lowest polymorph: 14 meV per atom
- ΔE_f: -1.72 eV/f.u.

a = 5.6606 Å, b = 4.4774 Å, c = 8.0226 Å
α = 90.00°, β = 95.15°, γ = 90.00°
Atoms (fractional coordinates):
Ac: 0.2002 0.2500 0.3347
Ac: 0.7998 0.7500 0.6653
Th: 0.3098 0.2500 0.8645
Th: 0.6902 0.7500 0.1355
Ir: 0.1918 0.7500 0.0656
Ir: 0.8082 0.2500 0.9344

---

VASP calculation (PBE-GGA) on a relaxed AcThIr2 crystal.

Computed properties:
- E above lowest polymorph: 156 meV per atom
- ΔE_f: -2.26 eV/f.u.

a = 5.1427 Å, b = 5.1427 Å, c = 5.1427 Å
α = 60.00°, β = 60.00°, γ = 60.00°
Atoms (fractional coordinates):
Ac: 0.0000 0.0000 0.0000
Th: 0.5000 0.5000 0.5000
Ir: 0.2500 0.2500 0.2500
Ir: 0.7500 0.7500 0.7500

---

VASP calculation (PBE-GGA) on a relaxed Ac3ThIr8 crystal.

Computed properties:
- ΔE_f: -7.45 eV/f.u.

a = 9.5828 Å, b = 9.5828 Å, c = 9.5828 Å
α = 33.60°, β = 33.60°, γ = 33.60°
Atoms (fractional coordinates):
Ac: 0.0000 0.0000 0.0000
Ac: 0.1247 0.1247 0.1247
Ac: 0.6258 0.6258 0.6258
Th: 0.5003 0.5003 0.5003
Ir: 0.0622 0.0622 0.5587
Ir: 0.0622 0.5587 0.0622
Ir: 0.0675 0.5632 0.5632
Ir: 0.3128 0.3128 0.3128
Ir: 0.5587 0.0622 0.0622
Ir: 0.5632 0.0675 0.5632
Ir: 0.5632 0.5632 0.0675
Ir: 0.8130 0.8130 0.8130

---

VASP calculation (PBE-GGA) on a relaxed Ac5ThIr4 crystal.

Computed properties:
- ΔE_f: -6.63 eV/f.u.

a = 9.5819 Å, b = 9.5819 Å, c = 8.4324 Å
α = 104.34°, β = 104.34°, γ = 26.11°
Atoms (fractional coordinates):
Ac: 0.0000 0.0000 0.0000
Ac: 0.3328 0.3328 0.6467
Ac: 0.3400 0.3400 0.1745
Ac: 0.6600 0.6600 0.8255
Ac: 0.6672 0.6672 0.3533
Th: 0.0000 0.0000 0.5000
Ir: 0.1653 0.1653 0.5970
Ir: 0.4979 0.4979 0.7426
Ir: 0.5021 0.5021 0.2574
Ir: 0.8347 0.8347 0.4030

---

VASP calculation (PBE-GGA) on a relaxed AcThIr2 crystal.

Computed properties:
- E above lowest polymorph: 105 meV per atom
- ΔE_f: -2.46 eV/f.u.

a = 7.6712 Å, b = 7.6712 Å, c = 7.6712 Å
α = 31.16°, β = 31.16°, γ = 31.16°
Atoms (fractional coordinates):
Ac: 0.0000 0.0000 0.0000
Th: 0.1717 0.1717 0.1717
Ir: 0.5801 0.5801 0.5801
Ir: 0.7602 0.7602 0.7602

---

| no. | magnetic moment (μB/cell) | total DFT energy (no corrections) (eV per atom) |
| --- | --- | --- |
| 1 | 0.00 | -6.24 |
| 2 | 0.00 | -5.64 |
| 3 | 0.00 | -6.20 |
| 4 | 0.00 | -5.44 |
| 5 | 0.00 | -8.82 |
| 6 | 0.00 | -7.24 |
| 7 | 0.00 | -7.38 |
| 8 | 0.00 | -7.37 |
| 9 | 0.00 | -7.88 |
| 10 | 0.00 | -8.17 |
| 11 | 0.00 | -7.00 |
| 12 | 0.00 | -7.93 |